No. 1
First-principles (PBE-GGA) data for crystalline Ca3La2UP6 at its relaxed geometry, as listed in Alexandria.

Lattice parameters (Å, degrees): 7.255 12.555 7.097 90.00 110.13 90.00
Space group C2/m (No. 12)
Asymmetric unit:
Ca (0.000, 0.000, 0.000) x2
Ca (0.000, 0.330, 0.000) x4
La (0.000, 0.166, 0.500) x4
U (0.000, 0.500, 0.500) x2
P (0.227, 0.500, 0.270) x4
P (0.232, 0.346, 0.735) x8

* DFT formation energy: -1.2461 eV per atom

=====

No. 2
First-principles (PBE-GGA) data for crystalline CaLa2UP4 at its relaxed geometry, as listed in Alexandria.

Lattice parameters (Å, degrees): 7.164 4.151 7.182 90.00 109.19 90.00
Space group P2/m (No. 10)
Asymmetric unit:
Ca (0.000, 0.000, 0.000) x1
La (0.000, 0.500, 0.500) x1
La (0.500, 0.000, 0.500) x1
U (0.500, 0.500, 0.000) x1
P (0.263, 0.500, 0.234) x2
P (0.267, 0.000, 0.769) x2

* DFT formation energy: -1.2838 eV per atom

=====

No. 3
First-principles (PBE-GGA) data for crystalline Ca2LaUP4 at its relaxed geometry, as listed in Alexandria.

Lattice parameters (Å, degrees): 7.074 4.152 7.205 90.00 109.64 90.00
Space group P2/m (No. 10)
Asymmetric unit:
Ca (0.000, 0.000, 0.000) x1
Ca (0.000, 0.500, 0.500) x1
La (0.500, 0.000, 0.500) x1
U (0.500, 0.500, 0.000) x1
P (0.266, 0.500, 0.232) x2
P (0.272, 0.000, 0.774) x2

* DFT formation energy: -1.1849 eV per atom

=====

No. 4
First-principles (PBE-GGA) data for crystalline CaLaY2P at its relaxed geometry, as listed in Alexandria.

Lattice parameters (Å, degrees): 5.431 5.431 5.793 90.00 90.00 90.00
Space group P4/mmm (No. 123)
Asymmetric unit:
Ca (0.000, 0.000, 0.000) x1
La (0.500, 0.500, 0.000) x1
Y (0.000, 0.500, 0.500) x2
P (0.500, 0.500, 0.500) x1

* DFT formation energy: -0.4936 eV per atom

=====

No. 5
First-principles (PBE-GGA) data for crystalline CaLa2YP at its relaxed geometry, as listed in Alexandria.

Lattice parameters (Å, degrees): 5.780 5.780 5.407 90.00 90.00 90.00
Space group P4/mmm (No. 123)
Asymmetric unit:
Ca (0.000, 0.000, 0.000) x1
La (0.000, 0.500, 0.500) x2
Y (0.500, 0.500, 0.000) x1
P (0.500, 0.500, 0.500) x1

* DFT formation energy: -0.5018 eV per atom

=====

No. 6
First-principles (PBE-GGA) data for crystalline CaLa2Pa2Rh5 at its relaxed geometry, as listed in Alexandria.

Lattice parameters (Å, degrees): 11.213 11.213 3.603 90.00 90.00 90.00
Space group P4/mbm (No. 127)
Asymmetric unit:
Ca (0.000, 0.000, 0.000) x2
La (0.174, 0.326, 0.000) x4
Pa (0.137, 0.637, 0.000) x4
Rh (0.000, 0.500, 0.500) x2
Rh (0.049, 0.785, 0.500) x8

* DFT formation energy: -0.5736 eV per atom

=====

Repeat the second record exactly.
First-principles (PBE-GGA) data for crystalline CaLa2UP4 at its relaxed geometry, as listed in Alexandria.

Lattice parameters (Å, degrees): 7.164 4.151 7.182 90.00 109.19 90.00
Space group P2/m (No. 10)
Asymmetric unit:
Ca (0.000, 0.000, 0.000) x1
La (0.000, 0.500, 0.500) x1
La (0.500, 0.000, 0.500) x1
U (0.500, 0.500, 0.000) x1
P (0.263, 0.500, 0.234) x2
P (0.267, 0.000, 0.769) x2

* DFT formation energy: -1.2838 eV per atom

=====

Among the records above, which one has the lowest DFT formation energy?
CaLa2UP4

=====

What is the DFT formation energy in the first record?
-1.2461 eV per atom

=====

Copy entry 4 word for word.
First-principles (PBE-GGA) data for crystalline CaLaY2P at its relaxed geometry, as listed in Alexandria.

Lattice parameters (Å, degrees): 5.431 5.431 5.793 90.00 90.00 90.00
Space group P4/mmm (No. 123)
Asymmetric unit:
Ca (0.000, 0.000, 0.000) x1
La (0.500, 0.500, 0.000) x1
Y (0.000, 0.500, 0.500) x2
P (0.500, 0.500, 0.500) x1

* DFT formation energy: -0.4936 eV per atom